Entry 1:
## SbAsOs2 (PBE)

Data for a relaxed structure of SbAsOs2.

## Properties
* DOS at the Fermi energy: 3.092 states/eV per cell
* relative energy among the computed polymorphs: 20.66 kJ/mol of atoms
* space group: R-3m, No. 166
* total magnetic moment: 0.00 μB per formula unit

Unit cell a=8.146 b=8.146 c=8.146 alpha=21.96 beta=21.96 gamma=21.96
Element x y z (fractional)
1 Sb 0.000 0.000 0.000
2 As 0.500 0.500 0.500
3 Os 0.245 0.245 0.245
4 Os 0.755 0.755 0.755

***

Entry 2:
## Pm3PrTm12 (PBE)

Data for a relaxed structure of Pm3PrTm12.

## Properties
* DOS at the Fermi energy: 23.387 states/eV per cell
* space group: P4/mmm, No. 123
* total magnetic moment: 0.00 μB per formula unit
* energy relative to the elements: 27 meV/atom

Unit cell a=4.994 b=4.994 c=19.996 alpha=90.00 beta=90.00 gamma=90.00
Element x y z (fractional)
1 Pm 0.000 0.000 0.000
2 Pm 0.000 0.000 0.250
3 Pm 0.000 0.000 0.750
4 Pr 0.000 0.000 0.500
5 Tm 0.000 0.500 0.125
6 Tm 0.000 0.500 0.374
7 Tm 0.000 0.500 0.626
8 Tm 0.000 0.500 0.875
9 Tm 0.500 0.000 0.125
10 Tm 0.500 0.000 0.374
11 Tm 0.500 0.000 0.626
12 Tm 0.500 0.000 0.875
13 Tm 0.500 0.500 0.000
14 Tm 0.500 0.500 0.249
15 Tm 0.500 0.500 0.500
16 Tm 0.500 0.500 0.751

***

Entry 3:
## CdReO2F (PBE)

Data for a relaxed structure of CdReO2F.

## Properties
* DOS at the Fermi energy: 3.362 states/eV per cell
* E_tot: -22.90 eV per cell
* space group: P4/mmm, No. 123
* total magnetic moment: 4.57 μB per formula unit

Unit cell a=4.228 b=4.228 c=4.221 alpha=90.00 beta=90.00 gamma=90.00
Element x y z (fractional)
1 Cd 0.000 0.000 0.000
2 Re 0.500 0.500 0.500
3 O 0.000 0.500 0.000
4 O 0.500 0.000 0.000
5 F 0.000 0.000 0.500

***

Entry 4:
## AcBiH6Rh2 (PBE)

Data for a relaxed structure of AcBiH6Rh2.

## Properties
* DOS at the Fermi energy: 3.785 states/eV per cell
* E_tot: -92.18 eV per cell
* space group: C2/c, No. 15
* total magnetic moment: 0.00 μB per formula unit

Unit cell a=7.393 b=7.393 c=4.758 alpha=93.58 beta=93.58 gamma=112.08
Element x y z (fractional)
1 Ac 0.166 0.834 0.750
2 Ac 0.834 0.166 0.250
3 Bi 0.395 0.605 0.250
4 Bi 0.605 0.395 0.750
5 H 0.034 0.680 0.195
6 H 0.138 0.482 0.543
7 H 0.154 0.155 0.493
8 H 0.155 0.154 0.993
9 H 0.320 0.966 0.305
10 H 0.482 0.138 0.043
11 H 0.518 0.862 0.957
12 H 0.680 0.034 0.695
13 H 0.845 0.846 0.007
14 H 0.846 0.845 0.507
15 H 0.862 0.518 0.457
16 H 0.966 0.320 0.805
17 Rh 0.193 0.344 0.760
18 Rh 0.344 0.193 0.260
19 Rh 0.656 0.807 0.740
20 Rh 0.807 0.656 0.240

***

For reference, density by record: 14.468 8.668 7.694 8.984 g/cm³.